No. 1
{
  "formula": "ZnGa2Cl8",
  "functional": "PBE",
  "state": "relaxed",
  "crystal_system": "monoclinic",
  "formation_energy_uncorrected_kj_per_mol_fu": -1175,
  "lattice": [[-3.313, -7.549, 2.486], [-2.612, -6.164, -7.285], [6.597, -7.869, -0.189]],
  "species": ["Cl", "Cl", "Cl", "Cl", "Cl", "Cl", "Cl", "Cl", "Cl", "Cl", "Cl", "Cl", "Cl", "Cl", "Cl", "Cl", "Zn", "Zn", "Ga", "Ga", "Ga", "Ga"],
  "fractional_positions": [[0.719, 0.953, 0.178], [0.174, 0.217, 0.494], [0.125, 0.943, 0.223], [0.826, 0.783, 0.506], [0.850, 0.547, 0.322], [0.116, 0.717, 0.994], [0.292, 0.557, 0.277], [0.150, 0.453, 0.678], [0.875, 0.057, 0.777], [0.281, 0.047, 0.822], [0.884, 0.283, 0.006], [0.605, 0.253, 0.441], [0.701, 0.753, 0.941], [0.708, 0.443, 0.723], [0.395, 0.747, 0.559], [0.299, 0.247, 0.059], [0.012, 0.250, 0.750], [0.988, 0.750, 0.250], [0.843, 0.870, 0.967], [0.679, 0.630, 0.533], [0.157, 0.130, 0.033], [0.321, 0.370, 0.467]]
}

=====

No. 2
{
  "formula": "ZrGaCl3",
  "functional": "PBE",
  "state": "relaxed",
  "crystal_system": "cubic",
  "formation_energy_uncorrected_kj_per_mol_fu": -449,
  "lattice": [[-1.838, 2.454, 4.076], [-4.677, -0.134, -2.028], [-0.869, -4.469, 2.299]],
  "species": ["Cl", "Cl", "Cl", "Zr", "Ga"],
  "fractional_positions": [[0.000, 0.000, 0.500], [0.000, 0.500, 0.000], [0.500, 0.000, 0.000], [0.000, 0.000, 0.000], [0.500, 0.500, 0.500]]
}

=====

No. 3
{
  "formula": "ZrGaCl2",
  "functional": "PBE",
  "state": "relaxed",
  "crystal_system": "trigonal",
  "formation_energy_uncorrected_kj_per_mol_fu": -232,
  "lattice": [[-1.988, 8.180, 5.546], [1.230, 7.561, 6.554], [0.646, 9.358, 3.693]],
  "species": ["Ga", "Zr", "Cl", "Cl"],
  "fractional_positions": [[0.500, 0.500, 0.500], [0.000, 0.000, 0.000], [0.919, 0.919, 0.919], [0.081, 0.081, 0.081]]
}

=====

No. 4
{
  "formula": "ZrGaCl5",
  "functional": "PBE",
  "state": "relaxed",
  "crystal_system": "monoclinic",
  "formation_energy_uncorrected_kj_per_mol_fu": -973,
  "lattice": [[6.987, -0.598, 1.646], [2.497, 6.553, 1.646], [1.146, 0.719, 9.810]],
  "species": ["Cl", "Cl", "Cl", "Cl", "Cl", "Cl", "Cl", "Cl", "Cl", "Cl", "Ga", "Ga", "Zr", "Zr"],
  "fractional_positions": [[0.298, 0.141, 0.874], [0.662, 0.210, 0.476], [0.210, 0.662, 0.976], [0.790, 0.338, 0.024], [0.141, 0.298, 0.374], [0.702, 0.859, 0.126], [0.911, 0.089, 0.750], [0.089, 0.911, 0.250], [0.338, 0.790, 0.524], [0.859, 0.702, 0.626], [0.510, 0.490, 0.750], [0.490, 0.510, 0.250], [0.000, 0.000, 0.000], [0.000, 0.000, 0.500]]
}